! UAlGa2 GGA-PBE optimized geometry; values from VASP
! Calculated formation energy, meV per atom: -12
! Total magnetization, μB/atom: 0.5502
! Symmetry: No. 225
! Electronic total energy, eV per atom: -5.2828
! ΔE to the lowest computed polymorph, meV/atom: 182
&SYSTEM
  ibrav = 0, nat = 4, ntyp = 3
/
ATOMIC_SPECIES
U 238.03 U.upf
Al 26.98 Al.upf
Ga 69.72 Ga.upf
CELL_PARAMETERS angstrom
0.000 3.372 3.372
3.372 0.000 3.372
3.372 3.372 0.000
ATOMIC_POSITIONS angstrom
U 0.000 0.000 0.000
Al 3.372 3.372 3.372
Ga 1.686 1.686 1.686
Ga 5.057 5.057 5.057

=====

! UAlGa4 GGA-PBE optimized geometry; values from VASP
! Calculated formation energy, meV per atom: 66
! Total magnetization, μB/atom: 0.5275
! Symmetry: No. 216
! Electronic total energy, eV per atom: -4.4567
&SYSTEM
  ibrav = 0, nat = 6, ntyp = 3
/
ATOMIC_SPECIES
U 238.03 U.upf
Al 26.98 Al.upf
Ga 69.72 Ga.upf
CELL_PARAMETERS angstrom
0.000 3.852 3.852
3.852 0.000 3.852
3.852 3.852 0.000
ATOMIC_POSITIONS angstrom
U 0.000 0.000 0.000
Al 1.926 1.926 1.926
Ga 4.814 2.890 2.890
Ga 2.890 4.814 2.890
Ga 2.890 2.890 4.814
Ga 4.814 4.814 4.814

=====

! U2AlGa9 GGA-PBE optimized geometry; values from VASP
! Calculated formation energy, meV per atom: -108
! Total magnetization, μB/atom: 0.4275
! Symmetry: No. 123
! Electronic total energy, eV per atom: -4.5718
&SYSTEM
  ibrav = 0, nat = 12, ntyp = 3
/
ATOMIC_SPECIES
U 238.03 U.upf
Al 26.98 Al.upf
Ga 69.72 Ga.upf
CELL_PARAMETERS angstrom
4.245 0.000 0.000
0.000 4.245 0.000
0.000 0.000 12.525
ATOMIC_POSITIONS angstrom
U 0.000 0.000 2.166
U 0.000 0.000 10.359
Al 0.000 0.000 6.263
Ga 0.000 2.122 0.000
Ga 0.000 2.122 4.330
Ga 0.000 2.122 8.195
Ga 2.122 0.000 0.000
Ga 2.122 0.000 4.330
Ga 2.122 0.000 8.195
Ga 2.122 2.122 2.040
Ga 2.122 2.122 6.263
Ga 2.122 2.122 10.485

=====

! UAl3Ga3 GGA-PBE optimized geometry; values from VASP
! Calculated formation energy, meV per atom: 508
! Total magnetization, μB/atom: 0.4703
! Symmetry: No. 223
! Electronic total energy, eV per atom: -4.0063
&SYSTEM
  ibrav = 0, nat = 14, ntyp = 3
/
ATOMIC_SPECIES
U 238.03 U.upf
Al 26.98 Al.upf
Ga 69.72 Ga.upf
CELL_PARAMETERS angstrom
6.935 0.000 0.000
0.000 6.935 0.000
0.000 0.000 6.935
ATOMIC_POSITIONS angstrom
U 0.000 0.000 0.000
U 3.467 3.467 3.467
Al 0.000 1.734 3.467
Al 0.000 5.201 3.467
Al 1.734 3.467 0.000
Al 3.467 0.000 1.734
Al 3.467 0.000 5.201
Al 5.201 3.467 0.000
Ga 0.000 3.467 1.734
Ga 0.000 3.467 5.201
Ga 1.734 0.000 3.467
Ga 3.467 1.734 0.000
Ga 3.467 5.201 0.000
Ga 5.201 0.000 3.467

=====

! UAlGa3 GGA-PBE optimized geometry; values from VASP
! Calculated formation energy, meV per atom: 1232
! Total magnetization, μB/atom: 0.7883
! Symmetry: No. 221
! Electronic total energy, eV per atom: -3.5907
&SYSTEM
  ibrav = 0, nat = 5, ntyp = 3
/
ATOMIC_SPECIES
U 238.03 U.upf
Al 26.98 Al.upf
Ga 69.72 Ga.upf
CELL_PARAMETERS angstrom
5.532 0.000 0.000
0.000 5.532 0.000
0.000 0.000 5.532
ATOMIC_POSITIONS angstrom
U 0.000 0.000 0.000
Al 2.766 2.766 2.766
Ga 0.000 0.000 2.766
Ga 0.000 2.766 0.000
Ga 2.766 0.000 0.000

=====

! U2Al3Ga GGA-PBE optimized geometry; values from VASP
! Calculated formation energy, meV per atom: -208
! Total magnetization, μB/atom: 0.6806
! Symmetry: No. 166
! Electronic total energy, eV per atom: -6.3465
! ΔE to the lowest computed polymorph, meV/atom: 3
&SYSTEM
  ibrav = 0, nat = 6, ntyp = 3
/
ATOMIC_SPECIES
U 238.03 U.upf
Al 26.98 Al.upf
Ga 69.72 Ga.upf
CELL_PARAMETERS angstrom
2.784 1.607 4.236
-2.784 1.607 4.236
0.000 -3.214 4.236
ATOMIC_POSITIONS angstrom
U 0.000 0.000 1.313
U 0.000 0.000 11.394
Al -1.392 -0.804 4.236
Al -1.392 0.804 8.471
Al 0.000 1.607 4.236
Ga 0.000 0.000 6.353

=====

! UAl2Ga GGA-PBE optimized geometry; values from VASP
! Calculated formation energy, meV per atom: 181
! Total magnetization, μB/atom: 0.5798
! Symmetry: No. 225
! Electronic total energy, eV per atom: -5.2687
&SYSTEM
  ibrav = 0, nat = 4, ntyp = 3
/
ATOMIC_SPECIES
U 238.03 U.upf
Al 26.98 Al.upf
Ga 69.72 Ga.upf
CELL_PARAMETERS angstrom
0.000 3.371 3.371
3.371 0.000 3.371
3.371 3.371 0.000
ATOMIC_POSITIONS angstrom
U 0.000 0.000 0.000
Al 1.686 1.686 1.686
Al 5.057 5.057 5.057
Ga 3.371 3.371 3.371

=====

! U4AlGa12 GGA-PBE optimized geometry; values from VASP
! Calculated formation energy, meV per atom: -188
! Total magnetization, μB/atom: 0.5513
! Symmetry: No. 229
! Electronic total energy, eV per atom: -5.2010
&SYSTEM
  ibrav = 0, nat = 17, ntyp = 3
/
ATOMIC_SPECIES
U 238.03 U.upf
Al 26.98 Al.upf
Ga 69.72 Ga.upf
CELL_PARAMETERS angstrom
-4.324 4.324 4.324
4.324 -4.324 4.324
4.324 4.324 -4.324
ATOMIC_POSITIONS angstrom
U 2.162 2.162 -2.162
U 2.162 -2.162 2.162
U -2.162 2.162 2.162
U 2.162 2.162 2.162
Al 0.000 0.000 0.000
Ga 2.607 0.000 0.000
Ga 6.041 0.000 0.000
Ga 4.324 2.162 0.000
Ga 4.324 0.000 2.162
Ga 0.000 2.607 0.000
Ga 0.000 0.000 2.607
Ga 2.162 4.324 0.000
Ga 2.162 0.000 4.324
Ga 0.000 6.041 0.000
Ga 0.000 0.000 6.041
Ga 0.000 4.324 2.162
Ga 0.000 2.162 4.324

=====

What is the total magnetization in the fifth record?
0.7883 μB/atom

=====

Among the records above, which one has the highest calculated formation energy?
UAlGa3

=====

Among the records above, which one has the lowest electronic total energy?
U2Al3Ga

=====

Number 8 is which compound?
U4AlGa12